# 1
Density functional theory data (PBE) for crystalline UNbIr at its relaxed geometry.

Calculated values
The value obtained for the formation energy is 453 meV per atom. Its space-group type is F-43m (216). The total moment comes out at 0.648 Bohr magnetons per cell. Its energy above the most stable polymorph in this dataset is 250 meV per atom.

Geometry as POSCAR:
```
UNbIr
1.0
-1.915 -4.049 -0.141
0.879 -3.007 3.204
-3.164 -1.088 2.981
Ir Nb U
1 1 1
Direct
0.250 0.250 0.250
0.750 0.750 0.750
0.000 0.000 0.000
```

=====

# 2
Density functional theory data (PBE) for crystalline UNbIr at its relaxed geometry.

Calculated values
The value obtained for the formation energy is 203 meV per atom. Its space-group type is F-43m (216). The total moment comes out at 2.532 Bohr magnetons per cell. Its energy above the most stable polymorph in this dataset is 0 meV per atom.

Geometry as POSCAR:
```
UNbIr
1.0
0.000 3.205 3.205
3.205 0.000 3.205
3.205 3.205 0.000
Nb Ir U
1 1 1
Direct
0.750 0.750 0.750
0.000 0.000 0.000
0.250 0.250 0.250
```

=====

# 3
Density functional theory data (PBE) for crystalline Nb2IrW at its relaxed geometry.

Calculated values
The value obtained for the formation energy is -109 meV per atom. Its space-group type is F-43m (216). The total moment comes out at 0.009 Bohr magnetons per cell.

Geometry as POSCAR:
```
Nb2IrW
1.0
-0.804 -2.774 3.508
-2.991 -3.394 -0.427
1.451 -4.304 -0.128
Nb Ir W
2 1 1
Direct
0.000 0.000 0.000
0.250 0.250 0.250
0.500 0.500 0.500
0.750 0.750 0.750
```

=====

# 4
Density functional theory data (PBE) for crystalline NbIrW at its relaxed geometry.

Calculated values
The value obtained for the formation energy is 381 meV per atom. Its space-group type is F-43m (216). The total moment comes out at 0.002 Bohr magnetons per cell. Its energy above the most stable polymorph in this dataset is 0 meV per atom.

Geometry as POSCAR:
```
NbIrW
1.0
0.000 3.064 3.064
3.064 0.000 3.064
3.064 3.064 0.000
W Ir Nb
1 1 1
Direct
0.750 0.750 0.750
0.000 0.000 0.000
0.250 0.250 0.250
```

=====

# 5
Density functional theory data (PBE) for crystalline NbZn2Ir at its relaxed geometry.

Calculated values
The value obtained for the formation energy is -291 meV per atom. Its space-group type is F-43m (216). The total moment comes out at 0.000 Bohr magnetons per cell.

Geometry as POSCAR:
```
NbZn2Ir
1.0
0.000 3.120 3.120
3.120 0.000 3.120
3.120 3.120 0.000
Nb Zn Ir
1 2 1
Direct
0.750 0.750 0.750
0.000 0.000 0.000
0.250 0.250 0.250
0.500 0.500 0.500
```

=====

# 6
Density functional theory data (PBE) for crystalline NbZnIr at its relaxed geometry.

Calculated values
The value obtained for the formation energy is 258 meV per atom. Its space-group type is F-43m (216). The total moment comes out at 0.000 Bohr magnetons per cell.

Geometry as POSCAR:
```
NbZnIr
1.0
3.536 -1.836 1.604
-0.026 -1.588 3.990
0.121 -4.248 0.621
Nb Zn Ir
1 1 1
Direct
0.750 0.750 0.750
0.500 0.500 0.500
0.000 0.000 0.000
```

=====

# 7
Density functional theory data (PBE) for crystalline NbZnIr at its relaxed geometry.

Calculated values
The value obtained for the formation energy is -100 meV per atom. Its space-group type is F-43m (216). The total moment comes out at 0.474 Bohr magnetons per cell.

Geometry as POSCAR:
```
NbZnIr
1.0
1.019 -2.275 3.474
-2.706 -0.183 3.305
-2.080 -3.635 0.861
Zn Ir Nb
1 1 1
Direct
0.750 0.750 0.750
0.000 0.000 0.000
0.250 0.250 0.250
```

=====

# 8
Density functional theory data (PBE) for crystalline Nb2ZnIr at its relaxed geometry.

Calculated values
The value obtained for the formation energy is -81 meV per atom. Its space-group type is F-43m (216). The total moment comes out at 0.130 Bohr magnetons per cell.

Geometry as POSCAR:
```
Nb2ZnIr
1.0
2.254 1.301 3.681
-2.254 1.301 3.681
0.000 -2.603 3.681
Nb Zn Ir
2 1 1
Direct
0.500 0.500 0.500
0.750 0.750 0.750
0.000 0.000 0.000
0.250 0.250 0.250
```